Compound: Ga3Te
Source: Alexandria via LeMat-Bulk
Functional: PBE-GGA
Structure: optimized geometry

```
data_Ga3Te
_chemical_formula_sum 'Ga3 Te1'
_cell_length_a 4.0291
_cell_length_b 5.7003
_cell_length_c 4.0889
_cell_angle_alpha 90.00
_cell_angle_beta 90.00
_cell_angle_gamma 90.00
_symmetry_space_group_name_H-M 'P 1'
_symmetry_Int_Tables_number 1
_symmetry_space_group_name_Hall 'P 1'
loop_
_atom_site_label
_atom_site_fract_x
_atom_site_fract_y
_atom_site_fract_z
Ga1 0.0000 0.0000 0.0000
Ga2 0.0000 0.5000 0.1302
Ga3 0.5000 0.5000 0.6503
Te1 0.5000 0.0000 0.5004
```

Summary:
As for the polymorph energy (0 for the lowest one): 0.0 meV per atom. The space group is No. 25. As for the raw formation energy: 0.016 eV per atom.

---

Compound: Nb3RuC
Source: Alexandria via LeMat-Bulk
Functional: PBE-GGA
Structure: optimized geometry

```
data_Nb3RuC
_chemical_formula_sum 'Nb3 Ru1 C1'
_cell_length_a 4.2749
_cell_length_b 4.2749
_cell_length_c 4.2749
_cell_angle_alpha 90.00
_cell_angle_beta 90.00
_cell_angle_gamma 90.00
_symmetry_space_group_name_H-M 'P 1'
_symmetry_Int_Tables_number 1
_symmetry_space_group_name_Hall 'P 1'
loop_
_atom_site_label
_atom_site_fract_x
_atom_site_fract_y
_atom_site_fract_z
Nb1 0.0000 0.0000 0.5000
Nb2 0.0000 0.5000 0.0000
Nb3 0.5000 0.0000 0.0000
Ru1 0.5000 0.5000 0.5000
C1 0.0000 0.0000 0.0000
```

Summary:
The value obtained for the energy of formation is -0.076 eV per atom. As for the polymorph energy (0 for the lowest one): 36.5 meV per atom. The space group is No. 221.

---

Compound: Fe2AsOs
Source: Alexandria via LeMat-Bulk
Functional: PBE-GGA
Structure: optimized geometry

```
data_Fe2AsOs
_chemical_formula_sum 'Fe4 As2 Os2'
_cell_length_a 6.4428
_cell_length_b 6.4428
_cell_length_c 6.4428
_cell_angle_alpha 132.26
_cell_angle_beta 132.26
_cell_angle_gamma 69.82
_symmetry_space_group_name_H-M 'P 1'
_symmetry_Int_Tables_number 1
_symmetry_space_group_name_Hall 'P 1'
loop_
_atom_site_label
_atom_site_fract_x
_atom_site_fract_y
_atom_site_fract_z
Fe1 0.1215 0.6250 0.9965
Fe2 0.3750 0.3715 0.4965
Fe3 0.6285 0.1250 0.0035
Fe4 0.8750 0.8785 0.5035
As1 0.2500 0.7500 0.5000
As2 0.5000 0.5000 0.0000
Os1 0.0000 0.0000 0.0000
Os2 0.7500 0.2500 0.5000
```

Summary:
The value obtained for the energy of formation is 0.830 eV per atom. The space group is No. 122.

---

Compound: ZrGa2SbS
Source: Alexandria via LeMat-Bulk
Functional: PBE-GGA
Structure: optimized geometry

```
data_ZrGa2SbS
_chemical_formula_sum 'Zr1 Ga2 Sb1 S1'
_cell_length_a 5.1629
_cell_length_b 5.1629
_cell_length_c 5.5252
_cell_angle_alpha 90.00
_cell_angle_beta 90.00
_cell_angle_gamma 90.00
_symmetry_space_group_name_H-M 'P 1'
_symmetry_Int_Tables_number 1
_symmetry_space_group_name_Hall 'P 1'
loop_
_atom_site_label
_atom_site_fract_x
_atom_site_fract_y
_atom_site_fract_z
Zr1 0.0000 0.0000 0.0000
Ga1 0.0000 0.5000 0.5000
Ga2 0.5000 0.0000 0.5000
Sb1 0.0000 0.0000 0.5000
S1 0.5000 0.5000 0.0000
```

Summary:
The space group is No. 123. As for the raw formation energy: 0.726 eV per atom.

---

Theoretical density across the listed records, respectively: 5.95; 8.33; 8.71; 4.34 Mg/m³.